Sn5HgAu4 after structural relaxation, computed with PBE.

Output
ΔH_f (0 K) ... -0.113 eV/atom
Uncorrected energy ... -3.46 eV/atom
Mass density ... 9.91 g cm⁻³

Cell: 9.0234 9.0234 9.0234 Å, 151.37 130.72 57.99°
Fractional positions:
Sn 0.0000 0.0000 0.0000
Sn 0.0458 0.3278 0.7180
Sn 0.3902 0.6722 0.7180
Sn 0.6098 0.3278 0.2820
Sn 0.9542 0.6722 0.2820
Hg 0.5000 0.0000 0.5000
Au 0.2089 0.2089 0.0000
Au 0.2570 0.5000 0.7570
Au 0.7430 0.5000 0.2430
Au 0.7911 0.7911 0.0000

---

Sn5Hg12Au3 after structural relaxation, computed with PBE.

Output
ΔH_f (0 K) ... 0.162 eV/atom
Uncorrected energy ... -1.51 eV/atom
Mass density ... 10.06 g cm⁻³

Cell: 14.5501 14.5501 14.5501 Å, 109.47 109.47 109.47°
Fractional positions:
Sn 0.0000 0.0000 0.0000
Sn 0.0000 0.0000 0.5000
Sn 0.0000 0.5000 0.0000
Sn 0.0000 0.5000 0.5000
Sn 0.1250 0.7500 0.8750
Sn 0.1250 0.8750 0.2500
Sn 0.2500 0.1250 0.8750
Sn 0.2500 0.6250 0.3750
Sn 0.3750 0.2500 0.6250
Sn 0.3750 0.6250 0.7500
Sn 0.5000 0.0000 0.0000
Sn 0.5000 0.0000 0.5000
Sn 0.5000 0.5000 0.0000
Sn 0.5000 0.5000 0.5000
Sn 0.6250 0.3750 0.2500
Sn 0.6250 0.7500 0.3750
Sn 0.7500 0.3750 0.6250
Sn 0.7500 0.8750 0.1250
Sn 0.8750 0.1250 0.7500
Sn 0.8750 0.2500 0.1250
Hg 0.0660 0.2366 0.1349
Hg 0.0660 0.3294 0.9311
Hg 0.0689 0.6349 0.3983
Hg 0.0689 0.9340 0.6706
Hg 0.1017 0.7366 0.6706
Hg 0.1017 0.8651 0.4311
Hg 0.1349 0.0660 0.2366
Hg 0.1349 0.5689 0.8983
Hg 0.1706 0.2366 0.6017
Hg 0.1706 0.4340 0.5689
Hg 0.2366 0.1349 0.0660
Hg 0.2366 0.6017 0.1706
Hg 0.2634 0.3294 0.8983
Hg 0.2634 0.4340 0.3651
Hg 0.3294 0.8983 0.2634
Hg 0.3294 0.9311 0.0660
Hg 0.3651 0.2634 0.4340
Hg 0.3651 0.6017 0.9311
Hg 0.3983 0.0689 0.6349
Hg 0.3983 0.8294 0.7634
Hg 0.4311 0.1017 0.8651
Hg 0.4311 0.8294 0.5660
Hg 0.4340 0.3651 0.2634
Hg 0.4340 0.5689 0.1706
Hg 0.5660 0.4311 0.8294
Hg 0.5660 0.6349 0.7366
Hg 0.5689 0.1706 0.4340
Hg 0.5689 0.8983 0.1349
Hg 0.6017 0.1706 0.2366
Hg 0.6017 0.9311 0.3651
Hg 0.6349 0.3983 0.0689
Hg 0.6349 0.7366 0.5660
Hg 0.6706 0.0689 0.9340
Hg 0.6706 0.1017 0.7366
Hg 0.7366 0.5660 0.6349
Hg 0.7366 0.6706 0.1017
Hg 0.7634 0.3983 0.8294
Hg 0.7634 0.8651 0.9340
Hg 0.8294 0.5660 0.4311
Hg 0.8294 0.7634 0.3983
Hg 0.8651 0.4311 0.1017
Hg 0.8651 0.9340 0.7634
Hg 0.8983 0.1349 0.5689
Hg 0.8983 0.2634 0.3294
Hg 0.9311 0.0660 0.3294
Hg 0.9311 0.3651 0.6017
Hg 0.9340 0.6706 0.0689
Hg 0.9340 0.7634 0.8651
Au 0.1250 0.2500 0.3750
Au 0.1250 0.3750 0.7500
Au 0.2500 0.3750 0.1250
Au 0.2500 0.8750 0.6250
Au 0.3750 0.1250 0.2500
Au 0.3750 0.7500 0.1250
Au 0.6250 0.2500 0.8750
Au 0.6250 0.8750 0.7500
Au 0.7500 0.1250 0.3750
Au 0.7500 0.6250 0.8750
Au 0.8750 0.6250 0.2500
Au 0.8750 0.7500 0.6250

---

Sn3HgAu3 after structural relaxation, computed with PBE.

Output
ΔH_f (0 K) ... -0.057 eV/atom
Distance to the lowest polymorph of the same formula ... 0.000 eV/f.u.
Uncorrected energy ... -3.22 eV/atom
Mass density ... 10.63 g cm⁻³

Cell: 7.6100 7.6100 7.6100 Å, 67.02 67.02 67.02°
Fractional positions:
Sn 0.1024 0.3905 0.7938
Sn 0.2062 0.8976 0.6095
Sn 0.3905 0.7938 0.1024
Sn 0.6095 0.2062 0.8976
Sn 0.7938 0.1024 0.3905
Sn 0.8976 0.6095 0.2062
Hg 0.3377 0.3377 0.3377
Hg 0.6623 0.6623 0.6623
Au 0.0693 0.7197 0.4429
Au 0.2803 0.5571 0.9307
Au 0.4429 0.0693 0.7197
Au 0.5571 0.9307 0.2803
Au 0.7197 0.4429 0.0693
Au 0.9307 0.2803 0.5571

---

SnHg2Au after structural relaxation, computed with PBE.

Output
ΔH_f (0 K) ... 0.071 eV/atom
Uncorrected energy ... -1.90 eV/atom
Mass density ... 12.38 g cm⁻³

Cell: 10.6023 10.6023 10.6023 Å, 17.70 17.70 17.70°
Fractional positions:
Sn 0.0000 0.0000 0.0000
Hg 0.0934 0.0934 0.0934
Hg 0.9066 0.9066 0.9066
Au 0.5000 0.5000 0.5000

---

Sn4HgAu after structural relaxation, computed with PBE.

Output
ΔH_f (0 K) ... 0.001 eV/atom
Uncorrected energy ... -3.26 eV/atom
Mass density ... 9.05 g cm⁻³

Cell: 8.9093 8.9093 6.2574 Å, 107.03 107.03 42.75°
Fractional positions:
Sn 0.0134 0.1613 0.4470
Sn 0.1613 0.0134 0.9470
Sn 0.1914 0.4551 0.9577
Sn 0.4551 0.1914 0.4577
Sn 0.5449 0.8086 0.5423
Sn 0.8086 0.5449 0.0423
Sn 0.8387 0.9866 0.0530
Sn 0.9866 0.8387 0.5530
Hg 0.4560 0.5440 0.2500
Hg 0.5440 0.4560 0.7500
Au 0.0000 0.5000 0.5000
Au 0.5000 0.0000 0.0000

---

Sn3HgAu3 after structural relaxation, computed with PBE.

Output
ΔH_f (0 K) ... 0.133 eV/atom
Distance to the lowest polymorph of the same formula ... 1.333 eV/f.u.
Uncorrected energy ... -3.03 eV/atom
Mass density ... 8.31 g cm⁻³

Cell: 7.7130 7.7130 7.7130 Å, 90.00 90.00 90.00°
Fractional positions:
Sn 0.0000 0.2500 0.5000
Sn 0.0000 0.7500 0.5000
Sn 0.2500 0.5000 0.0000
Sn 0.5000 0.0000 0.2500
Sn 0.5000 0.0000 0.7500
Sn 0.7500 0.5000 0.0000
Hg 0.0000 0.0000 0.0000
Hg 0.5000 0.5000 0.5000
Au 0.0000 0.5000 0.2500
Au 0.0000 0.5000 0.7500
Au 0.2500 0.0000 0.5000
Au 0.5000 0.2500 0.0000
Au 0.5000 0.7500 0.0000
Au 0.7500 0.0000 0.5000

---

Sn6HgAu12 after structural relaxation, computed with PBE.

Output
ΔH_f (0 K) ... -0.098 eV/atom
Uncorrected energy ... -3.45 eV/atom
Mass density ... 12.45 g cm⁻³

Cell: 7.7600 7.7600 7.7600 Å, 101.13 101.13 101.13°
Fractional positions:
Sn 0.0266 0.5347 0.7345
Sn 0.2655 0.9734 0.4653
Sn 0.4653 0.2655 0.9734
Sn 0.5347 0.7345 0.0266
Sn 0.7345 0.0266 0.5347
Sn 0.9734 0.4653 0.2655
Hg 0.0000 0.0000 0.0000
Au 0.1085 0.1647 0.7195
Au 0.1647 0.7195 0.1085
Au 0.2415 0.3999 0.5158
Au 0.2805 0.8915 0.8353
Au 0.3999 0.5158 0.2415
Au 0.4842 0.7585 0.6001
Au 0.5158 0.2415 0.3999
Au 0.6001 0.4842 0.7585
Au 0.7195 0.1085 0.1647
Au 0.7585 0.6001 0.4842
Au 0.8353 0.2805 0.8915
Au 0.8915 0.8353 0.2805

---

SnHg3Au after structural relaxation, computed with PBE.

Output
ΔH_f (0 K) ... 0.291 eV/atom
Distance to the lowest polymorph of the same formula ... 0.000 eV/f.u.
Uncorrected energy ... -1.35 eV/atom
Mass density ... 10.14 g cm⁻³

Cell: 5.3165 5.3165 5.3165 Å, 90.00 90.00 90.00°
Fractional positions:
Sn 0.0000 0.0000 0.0000
Hg 0.0000 0.5000 0.5000
Hg 0.5000 0.0000 0.5000
Hg 0.5000 0.5000 0.0000
Au 0.5000 0.5000 0.5000

---

SnHg3Au3 after structural relaxation, computed with PBE.

Output
ΔH_f (0 K) ... 0.504 eV/atom
Uncorrected energy ... -1.60 eV/atom
Mass density ... 9.63 g cm⁻³

Cell: 7.6749 7.6749 7.6749 Å, 90.00 90.00 90.00°
Fractional positions:
Sn 0.0000 0.0000 0.0000
Sn 0.5000 0.5000 0.5000
Hg 0.0000 0.2500 0.5000
Hg 0.0000 0.7500 0.5000
Hg 0.2500 0.5000 0.0000
Hg 0.5000 0.0000 0.2500
Hg 0.5000 0.0000 0.7500
Hg 0.7500 0.5000 0.0000
Au 0.0000 0.5000 0.2500
Au 0.0000 0.5000 0.7500
Au 0.2500 0.0000 0.5000
Au 0.5000 0.2500 0.0000
Au 0.5000 0.7500 0.0000
Au 0.7500 0.0000 0.5000

---

Sn2HgAu3 after structural relaxation, computed with PBE.

Output
ΔH_f (0 K) ... -0.083 eV/atom
Uncorrected energy ... -3.11 eV/atom
Mass density ... 12.05 g cm⁻³

Cell: 7.3653 4.3016 9.2807 Å, 90.00 105.30 90.00°
Fractional positions:
Sn 0.0327 0.2500 0.3318
Sn 0.2532 0.2500 0.0061
Sn 0.7468 0.7500 0.9939
Sn 0.9673 0.7500 0.6682
Hg 0.4725 0.2500 0.6587
Hg 0.5275 0.7500 0.3413
Au 0.1340 0.7500 0.1653
Au 0.2357 0.7500 0.5017
Au 0.3555 0.7500 0.8360
Au 0.6445 0.2500 0.1640
Au 0.7643 0.2500 0.4983
Au 0.8660 0.2500 0.8347

---

Sn12HgAu7 after structural relaxation, computed with PBE.

Output
ΔH_f (0 K) ... -0.052 eV/atom
Uncorrected energy ... -3.62 eV/atom
Mass density ... 10.17 g cm⁻³

Cell: 8.9096 8.9096 8.9096 Å, 111.85 111.85 111.85°
Fractional positions:
Sn 0.0456 0.9480 0.6556
Sn 0.0520 0.3444 0.9544
Sn 0.2011 0.5148 0.7056
Sn 0.2944 0.7989 0.4852
Sn 0.3444 0.9544 0.0520
Sn 0.4852 0.2944 0.7989
Sn 0.5148 0.7056 0.2011
Sn 0.6556 0.0456 0.9480
Sn 0.7056 0.2011 0.5148
Sn 0.7989 0.4852 0.2944
Sn 0.9480 0.6556 0.0456
Sn 0.9544 0.0520 0.3444
Hg 0.5000 0.5000 0.5000
Au 0.0000 0.0000 0.0000
Au 0.0765 0.3787 0.3020
Au 0.3020 0.0765 0.3787
Au 0.3787 0.3020 0.0765
Au 0.6213 0.6980 0.9235
Au 0.6980 0.9235 0.6213
Au 0.9235 0.6213 0.6980

---

SnHgAu3 after structural relaxation, computed with PBE.

Output
ΔH_f (0 K) ... -0.017 eV/atom
Distance to the lowest polymorph of the same formula ... 0.000 eV/f.u.
Uncorrected energy ... -2.84 eV/atom
Mass density ... 13.83 g cm⁻³

Cell: 6.8910 6.9168 11.2837 Å, 90.00 125.65 90.00°
Fractional positions:
Sn 0.0929 0.2357 0.0922
Sn 0.0929 0.2643 0.5922
Sn 0.9071 0.7357 0.4078
Sn 0.9071 0.7643 0.9078
Hg 0.2553 0.7130 0.8008
Hg 0.2553 0.7870 0.3008
Hg 0.7447 0.2130 0.6992
Hg 0.7447 0.2870 0.1992
Au 0.2482 0.1997 0.3821
Au 0.2482 0.3003 0.8821
Au 0.3479 0.5629 0.1156
Au 0.3479 0.9371 0.6156
Au 0.3734 0.5336 0.5686
Au 0.3734 0.9664 0.0686
Au 0.6266 0.0336 0.9314
Au 0.6266 0.4664 0.4314
Au 0.6521 0.0629 0.3844
Au 0.6521 0.4371 0.8844
Au 0.7518 0.6997 0.1179
Au 0.7518 0.8003 0.6179

---

Calculated size of the total moment (μB per atom), listed in the same order as above: 0.000; 0.000; 0.000; 0.000; 0.000; 0.000; 0.000; 0.000; 0.000; 0.000; 0.000; 0.000